# Sb2WCl (PBE, optimized geometry)
# **Volume**: 21.5 A^3/atom
# **Relative energy among the computed polymorphs**: 598 meV/atom
# **Size of the total moment**: 4.2 Bohr magnetons per cell
data_Sb2WCl
_cell_length_a 7.005
_cell_length_b 7.005
_cell_length_c 7.005
_cell_angle_alpha 90.00
_cell_angle_beta 90.00
_cell_angle_gamma 90.00
_space_group_name_H-M_alt 'F m -3 m'
_space_group_IT_number 225
_space_group_name_Hall '-F 4 2 3'
loop_
_atom_site_label
_atom_site_type_symbol
_atom_site_fract_x
_atom_site_fract_y
_atom_site_fract_z
Sb1 Sb 0.250 0.250 0.250
W1 W 0.000 0.000 0.000
Cl1 Cl 0.000 0.000 0.500


# TiGaGe (PBE, optimized geometry)
# **Volume**: 16.2 A^3/atom
# **Calculated formation energy**: -0.4432 eV per atom
# **Size of the total moment**: 0.0 Bohr magnetons per cell
data_TiGaGe
_cell_length_a 3.708
_cell_length_b 14.077
_cell_length_c 3.713
_cell_angle_alpha 90.00
_cell_angle_beta 90.00
_cell_angle_gamma 90.00
_space_group_name_H-M_alt 'C m c m'
_space_group_IT_number 63
_space_group_name_Hall '-C 2c 2'
loop_
_atom_site_label
_atom_site_type_symbol
_atom_site_fract_x
_atom_site_fract_y
_atom_site_fract_z
Ti1 Ti 0.000 0.094 0.250
Ga1 Ga 0.000 0.247 0.750
Ge1 Ge 0.000 0.431 0.250